Material: CeY6Ho3
Method: DFT, PBE
State: optimized geometry

Computed properties:
DFT formation energy   3.27 kcal/mol of atoms
Spin magnetization   1.2 μB/f.u.
V   32.8 Å³ per atom
Space group   P2_1/c
Distance to the lowest polymorph of the same formula   0.00 eV/f.u.
E   -5.70 eV per atom

Cell: 7.4819 9.3655 11.9909 Å, 90.00 128.60 90.00°
Closest atoms and distances in Å follow each position.
Element x y z (fractional)
Ce1 0.0000 0.0000 0.0000  8 Y 3.73-3.94, 6 Ho 3.74-3.95
Ce2 0.0000 0.5000 0.5000  8 Y 3.73-3.94, 6 Ho 3.74-3.95
Y1 0.1282 0.1233 0.6293  3 Ho 3.26-3.41, 4 Y 3.27-3.42
Y2 0.1282 0.3767 0.1293  3 Ho 3.26-3.41, 4 Y 3.27-3.42
Y3 0.3756 0.6292 0.8765  3 Ho 3.27-3.41, 4 Y 3.27-3.42
Y4 0.3756 0.8708 0.3765  3 Ho 3.27-3.41, 4 Y 3.27-3.42
Y5 0.4224 0.6719 0.1723  6 Y 3.27-3.42
Y6 0.4224 0.8281 0.6723  6 Y 3.27-3.42
Y7 0.5776 0.1719 0.3277  6 Y 3.27-3.42
Y8 0.5776 0.3281 0.8277  6 Y 3.27-3.42
Y9 0.6244 0.1292 0.6235  3 Ho 3.27-3.41, 4 Y 3.27-3.42
Y10 0.6244 0.3708 0.1235  3 Ho 3.27-3.41, 4 Y 3.27-3.42
Y11 0.8718 0.6233 0.8707  3 Ho 3.26-3.41, 4 Y 3.27-3.42
Y12 0.8718 0.8767 0.3707  3 Ho 3.26-3.41, 4 Y 3.27-3.42
Ho1 0.0793 0.1720 0.3293  6 Y 3.26-3.41
Ho2 0.0793 0.3280 0.8293  6 Y 3.26-3.41
Ho3 0.5000 0.0000 0.0000  8 Y 3.66-3.94, 2 Ce 3.74, 4 Ho 3.94-3.95
Ho4 0.5000 0.5000 0.5000  8 Y 3.66-3.94, 2 Ce 3.74, 4 Ho 3.94-3.95
Ho5 0.9207 0.6720 0.1707  6 Y 3.26-3.41
Ho6 0.9207 0.8280 0.6707  6 Y 3.26-3.41


Material: LaTa2Tl
Method: DFT, PBE
State: optimized geometry

Computed properties:
DFT formation energy   16.59 kcal/mol of atoms
Spin magnetization   0.0 μB/f.u.
V   22.9 Å³ per atom
Space group   Cmmm
E   -7.03 eV per atom

Cell: 6.3421 9.6479 2.9880 Å, 90.00 90.00 90.00°
Closest atoms and distances in Å follow each position.
Element x y z (fractional)
La1 0.0000 0.0000 0.0000  2 La 2.99, 2 Tl 3.17, 8 Ta 3.25
La2 0.5000 0.5000 0.0000  2 La 2.99, 2 Tl 3.17, 8 Ta 3.25
Ta1 0.2500 0.2500 0.5000  4 Ta 2.99-3.17, 4 Tl 3.25, 4 La 3.25
Ta2 0.2500 0.7500 0.5000  4 Ta 2.99-3.17, 4 Tl 3.25, 4 La 3.25
Ta3 0.7500 0.2500 0.5000  4 Ta 2.99-3.17, 4 Tl 3.25, 4 La 3.25
Ta4 0.7500 0.7500 0.5000  4 Ta 2.99-3.17, 4 Tl 3.25, 4 La 3.25
Tl1 0.0000 0.5000 0.0000  2 Tl 2.99, 2 La 3.17, 8 Ta 3.25
Tl2 0.5000 0.0000 0.0000  2 Tl 2.99, 2 La 3.17, 8 Ta 3.25


Material: Ho2InPb3
Method: DFT, PBE
State: optimized geometry

Computed properties:
DFT formation energy   -4.00 kcal/mol of atoms
Spin magnetization   0.0 μB/f.u.
V   31.7 Å³ per atom
Space group   Cmcm
Distance to the lowest polymorph of the same formula   1.20 eV/f.u.
E   -4.01 eV per atom

Cell: 8.9399 8.9399 5.0571 Å, 90.00 90.00 70.23°
Closest atoms and distances in Å follow each position.
Element x y z (fractional)
Ho1 0.0006 0.2506 0.2500  5 Pb 3.10-3.30, 3 In 3.15-3.45
Ho2 0.2506 0.0006 0.7500  5 Pb 3.10-3.30, 3 In 3.15-3.45
Ho3 0.7494 0.9994 0.2500  5 Pb 3.10-3.30, 3 In 3.15-3.45
Ho4 0.9994 0.7494 0.7500  5 Pb 3.10-3.30, 3 In 3.15-3.45
In1 0.1590 0.8410 0.2500  6 Ho 3.15-3.45, 2 Pb 3.48
In2 0.8410 0.1590 0.7500  6 Ho 3.15-3.45, 2 Pb 3.48
Pb1 0.1516 0.3822 0.7500  4 Ho 3.10-3.27, 3 Pb 3.41-3.47
Pb2 0.3822 0.1516 0.2500  4 Ho 3.10-3.27, 3 Pb 3.41-3.47
Pb3 0.3917 0.6083 0.7500  2 Ho 3.30, 4 Pb 3.37-3.41, 2 In 3.48
Pb4 0.6083 0.3917 0.2500  2 Ho 3.30, 4 Pb 3.37-3.41, 2 In 3.48
Pb5 0.6178 0.8484 0.7500  4 Ho 3.10-3.27, 3 Pb 3.41-3.47
Pb6 0.8484 0.6178 0.2500  4 Ho 3.10-3.27, 3 Pb 3.41-3.47


Material: Ba2Mg2SbO6
Method: DFT, PBE
State: optimized geometry

Computed properties:
Spin magnetization   0.0 μB/f.u.
Uncorrected formation energy   -2088 meV/atom
V   16.8 Å³ per atom
Space group   R-3m
E   -5.81 eV per atom

Cell: 6.7086 6.7086 6.7086 Å, 54.13 54.13 54.13°
Closest atoms and distances in Å follow each position.
Element x y z (fractional)
Ba1 0.2090 0.2090 0.2090  3 O 2.75
Ba2 0.7910 0.7910 0.7910  3 O 2.75
Mg1 0.4135 0.4135 0.4135  3 O 1.90
Mg2 0.5865 0.5865 0.5865  3 O 1.90
Sb1 0.0000 0.0000 0.0000  6 O 2.12
O1 0.2283 0.7669 0.7669  1 Mg 1.90, 1 Sb 2.12
O2 0.2331 0.2331 0.7717  1 Mg 1.90, 1 Sb 2.12
O3 0.2331 0.7717 0.2331  1 Mg 1.90, 1 Sb 2.12
O4 0.7669 0.2283 0.7669  1 Mg 1.90, 1 Sb 2.12
O5 0.7669 0.7669 0.2283  1 Mg 1.90, 1 Sb 2.12
O6 0.7717 0.2331 0.2331  1 Mg 1.90, 1 Sb 2.12


Material: Y4RuRh2
Method: DFT, PBE
State: optimized geometry

Computed properties:
DFT formation energy   -13.08 kcal/mol of atoms
Spin magnetization   0.0 μB/f.u.
V   22.9 Å³ per atom
Space group   I4/mmm
E   -7.69 eV per atom

Cell: 6.8069 6.8069 6.9158 Å, 90.00 90.00 90.00°
Closest atoms and distances in Å follow each position.
Element x y z (fractional)
Y1 0.2500 0.2500 0.2500  2 Ru 2.96, 4 Rh 2.96
Y2 0.2500 0.2500 0.7500  2 Ru 2.96, 4 Rh 2.96
Y3 0.2500 0.7500 0.2500  4 Rh 2.96, 2 Ru 2.96
Y4 0.2500 0.7500 0.7500  2 Ru 2.96, 4 Rh 2.96
Y5 0.7500 0.2500 0.2500  4 Rh 2.96, 2 Ru 2.96
Y6 0.7500 0.2500 0.7500  2 Ru 2.96, 4 Rh 2.96
Y7 0.7500 0.7500 0.2500  2 Ru 2.96, 4 Rh 2.96
Y8 0.7500 0.7500 0.7500  2 Ru 2.96, 4 Rh 2.96
Ru1 0.0000 0.0000 0.0000  8 Y 2.96
Ru2 0.5000 0.5000 0.5000  8 Y 2.96
Rh1 0.0000 0.5000 0.0000  8 Y 2.96
Rh2 0.0000 0.5000 0.5000  8 Y 2.96
Rh3 0.5000 0.0000 0.0000  8 Y 2.96
Rh4 0.5000 0.0000 0.5000  8 Y 2.96


Material: Li3Ac2Ge4Pt
Method: DFT, PBE
State: optimized geometry

Computed properties:
DFT formation energy   -14.95 kcal/mol of atoms
Spin magnetization   0.0 μB/f.u.
V   20.7 Å³ per atom
Space group   P-4m2
E   -4.50 eV per atom

Cell: 4.4617 4.4617 10.4223 Å, 90.00 90.00 90.00°
Closest atoms and distances in Å follow each position.
Element x y z (fractional)
Li1 0.0000 0.0000 0.0000  4 Ge 2.56
Li2 0.0000 0.5000 0.6282  5 Ge 2.60-2.62
Li3 0.5000 0.0000 0.3718  5 Ge 2.60-2.62
Ac1 0.0000 0.5000 0.2478  6 Li 3.41, 2 Pt 3.41, 8 Ge 3.42-3.45
Ac2 0.5000 0.0000 0.7522  6 Li 3.41, 2 Pt 3.41, 8 Ge 3.42-3.45
Ge1 0.0000 0.0000 0.5000  4 Li 2.60
Ge2 0.0000 0.5000 0.8793  2 Pt 2.56, 3 Li 2.56-2.62
Ge3 0.5000 0.0000 0.1207  2 Pt 2.56, 3 Li 2.56-2.62
Ge4 0.5000 0.5000 0.5000  4 Li 2.60
Pt1 0.5000 0.5000 0.0000  4 Ge 2.56